KSeF4 PBE-GGA optimized geometry; raw formation energy = -11.67 eV per formula unit; energy relative to the lowest polymorph listed for this composition = 0 meV per atom; VASP energy = -3.956 eV per atom
1.0
5.294 0.340 -1.811
-2.694 4.504 -1.970
0.204 -0.340 5.592
F Se K
4 1 1
Direct
0.408 0.704 0.704 F
0.000 0.296 0.704 F
0.000 0.704 0.296 F
0.592 0.296 0.296 F
0.000 0.500 0.500 Se
0.500 0.250 0.750 K